(1)
Here is In11HgPb17 after structural relaxation from Alexandria via LeMat-Bulk. Energies are from GGA-PBE.

- Energy: -92.65 eV per formula unit
- Volume: 29.8 Å³/atom
- E_form: 28 meV per atom
- Total magnetization: 0.000 μB per atom

Structure (POSCAR):
```
In11HgPb17
1.0
6.0036 -8.3056 0.0000
6.0036 8.3056 0.0000
-5.3614 0.0000 8.6745
In Hg Pb
11 1 17
direct
0.0000 0.0000 0.0000
0.0007 0.3750 0.6280
0.0114 0.8246 0.4552
0.1825 0.5622 0.0017
0.1826 0.3732 0.1901
0.3732 0.1826 0.1901
0.3736 0.5623 0.8090
0.3750 0.0007 0.6280
0.5622 0.1825 0.0017
0.5623 0.3736 0.8090
0.8246 0.0114 0.4552
0.8262 0.8262 0.6429
0.1832 0.1832 0.8099
0.1883 0.6035 0.5029
0.1877 0.8752 0.2310
0.1988 0.1988 0.4825
0.2008 0.8580 0.8276
0.4777 0.7788 0.4068
0.4992 0.4992 0.1259
0.5043 0.5043 0.5306
0.5038 0.9023 0.1306
0.6035 0.1883 0.5029
0.6044 0.8767 0.8158
0.7785 0.7785 0.1037
0.7788 0.4777 0.4068
0.8580 0.2008 0.8276
0.8752 0.1877 0.2310
0.8767 0.6044 0.8158
0.9023 0.5038 0.1306
```

***

(2)
Here is InHg2Pb after structural relaxation from Alexandria via LeMat-Bulk. Energies are from GGA-PBE.

- Energy: -6.96 eV per formula unit
- Volume: 29.7 Å³/atom
- E_form: 22 meV per atom
- Total magnetization: 0.000 μB per atom

Structure (POSCAR):
```
InHg2Pb
1.0
-1.6862 2.8830 6.1159
1.6862 -2.8830 6.1159
1.6862 2.8830 -6.1159
In Hg Pb
1 2 1
direct
0.0000 0.0000 0.0000
0.2443 0.2443 0.0000
0.7557 0.7557 0.0000
0.5000 0.5000 0.0000
```

***

(3)
Here is In7Hg12Pb after structural relaxation from Alexandria via LeMat-Bulk. Energies are from GGA-PBE.

- Energy: -23.99 eV per formula unit
- Volume: 32.4 Å³/atom
- Offset from the most stable computed form: 91 meV/atom
- E_form: 125 meV per atom
- Total magnetization: 0.000 μB per atom

Structure (POSCAR):
```
In7Hg12Pb
1.0
-5.4490 5.4490 5.4490
5.4490 -5.4490 5.4490
5.4490 5.4490 -5.4490
In Hg Pb
7 12 1
direct
0.0000 0.0000 0.5000
0.0000 0.5000 0.0000
0.0000 0.5000 0.5000
0.5000 0.0000 0.0000
0.5000 0.0000 0.5000
0.5000 0.5000 0.0000
0.5000 0.5000 0.5000
0.1174 0.2742 0.8431
0.1569 0.4311 0.2742
0.1569 0.8826 0.7258
0.2742 0.1569 0.4311
0.2742 0.8431 0.1174
0.4311 0.2742 0.1569
0.5689 0.7258 0.8431
0.7258 0.1569 0.8826
0.7258 0.8431 0.5689
0.8431 0.1174 0.2742
0.8431 0.5689 0.7258
0.8826 0.7258 0.1569
0.0000 0.0000 0.0000
```

***

(4)
Here is In3Hg3Pb after structural relaxation from Alexandria via LeMat-Bulk. Energies are from GGA-PBE.

- Energy: -12.58 eV per formula unit
- Volume: 27.1 Å³/atom
- Offset from the most stable computed form: 0 meV/atom
- E_form: 36 meV per atom
- Total magnetization: 0.000 μB per atom

Structure (POSCAR):
```
In3Hg3Pb
1.0
8.6868 0.0000 0.0000
-4.3434 7.5230 0.0000
0.0000 0.0000 5.8046
In Hg Pb
6 6 2
direct
0.0358 0.7997 0.2500
0.2003 0.2362 0.2500
0.2362 0.0358 0.7500
0.7638 0.9642 0.2500
0.7997 0.7638 0.7500
0.9642 0.2003 0.7500
0.0968 0.6272 0.7500
0.3728 0.4696 0.7500
0.4696 0.0968 0.2500
0.5304 0.9032 0.7500
0.6272 0.5304 0.2500
0.9032 0.3728 0.2500
0.3333 0.6667 0.2500
0.6667 0.3333 0.7500
```

***

(5)
Here is In2Hg7Pb2 after structural relaxation from Alexandria via LeMat-Bulk. Energies are from GGA-PBE.

- Energy: -14.04 eV per formula unit
- Volume: 30.6 Å³/atom
- Offset from the most stable computed form: 47 meV/atom
- E_form: 88 meV per atom
- Total magnetization: 0.000 μB per atom

Structure (POSCAR):
```
In2Hg7Pb2
1.0
4.4725 -5.2893 0.0000
4.4725 5.2893 0.0000
0.0000 0.0000 7.1121
In Hg Pb
2 7 2
direct
0.2186 0.7814 0.0000
0.7814 0.2186 0.0000
0.0000 0.0000 0.2804
0.0000 0.0000 0.7196
0.0000 0.5000 0.2779
0.0000 0.5000 0.7221
0.5000 0.0000 0.2779
0.5000 0.0000 0.7221
0.5000 0.5000 0.0000
0.3207 0.3207 0.5000
0.6793 0.6793 0.5000
```

***

(6)
Here is In2HgPb4 after structural relaxation from Alexandria via LeMat-Bulk. Energies are from GGA-PBE.

- Energy: -20.40 eV per formula unit
- Volume: 30.1 Å³/atom
- Offset from the most stable computed form: 0 meV/atom
- E_form: 31 meV per atom
- Total magnetization: 0.000 μB per atom

Structure (POSCAR):
```
In2HgPb4
1.0
7.9039 -1.6612 0.0000
7.9039 1.6612 0.0000
-3.7204 0.0000 8.0334
In Hg Pb
2 1 4
direct
0.2123 0.2123 0.1370
0.7877 0.7877 0.8630
0.0000 0.0000 0.0000
0.0815 0.0815 0.7161
0.3600 0.3600 0.5895
0.6400 0.6400 0.4105
0.9185 0.9185 0.2839
```

***

(7)
Here is InHgPb4 after structural relaxation from Alexandria via LeMat-Bulk. Energies are from GGA-PBE.

- Energy: -17.67 eV per formula unit
- Volume: 30.2 Å³/atom
- Offset from the most stable computed form: 0 meV/atom
- E_form: 34 meV per atom
- Total magnetization: 0.000 μB per atom

Structure (POSCAR):
```
InHgPb4
1.0
3.4359 -9.5065 0.0000
3.4359 9.5065 0.0000
-3.3975 0.0000 5.5384
In Hg Pb
2 2 8
direct
0.2174 0.7826 0.7500
0.7826 0.2174 0.2500
0.2815 0.7185 0.2500
0.7185 0.2815 0.7500
0.1270 0.3761 0.7548
0.1971 0.2990 0.2485
0.2990 0.1971 0.7485
0.3761 0.1270 0.2548
0.6239 0.8730 0.7452
0.7010 0.8029 0.2515
0.8029 0.7010 0.7515
0.8730 0.6239 0.2452
```

***

(8)
Here is In4HgPb2 after structural relaxation from Alexandria via LeMat-Bulk. Energies are from GGA-PBE.

- Energy: -18.39 eV per formula unit
- Volume: 28.9 Å³/atom
- Offset from the most stable computed form: 0 meV/atom
- E_form: 41 meV per atom
- Total magnetization: 0.000 μB per atom

Structure (POSCAR):
```
In4HgPb2
1.0
2.8886 -10.8823 0.0000
2.8886 10.8823 0.0000
0.0000 0.0000 3.2155
In Hg Pb
4 1 2
direct
0.0724 0.9276 0.0000
0.3700 0.6300 0.5000
0.6300 0.3700 0.5000
0.9276 0.0724 0.0000
0.5000 0.5000 0.0000
0.2087 0.7913 0.5000
0.7913 0.2087 0.5000
```

***

(9)
Here is In4Hg15Pb after structural relaxation from Alexandria via LeMat-Bulk. Energies are from GGA-PBE.

- Energy: -18.85 eV per formula unit
- Volume: 26.7 Å³/atom
- E_form: 17 meV per atom
- Total magnetization: 0.000 μB per atom

Structure (POSCAR):
```
In4Hg15Pb
1.0
5.2518 0.0000 0.0000
0.0000 5.2988 0.0000
0.0000 0.0000 19.1740
In Hg Pb
4 15 1
direct
0.0000 0.0000 0.0995
0.0000 0.0000 0.2966
0.0000 0.0000 0.7034
0.0000 0.0000 0.9005
0.0000 0.5000 0.0000
0.0000 0.5000 0.1987
0.0000 0.5000 0.3965
0.0000 0.5000 0.6035
0.0000 0.5000 0.8013
0.5000 0.0000 0.0000
0.5000 0.0000 0.1974
0.5000 0.0000 0.3958
0.5000 0.0000 0.6042
0.5000 0.0000 0.8026
0.5000 0.5000 0.0997
0.5000 0.5000 0.2985
0.5000 0.5000 0.5000
0.5000 0.5000 0.7015
0.5000 0.5000 0.9003
0.0000 0.0000 0.5000
```

***

(10)
Here is In2HgPb after structural relaxation from Alexandria via LeMat-Bulk. Energies are from GGA-PBE.

- Energy: -9.22 eV per formula unit
- Volume: 28.9 Å³/atom
- E_form: 67 meV per atom
- Total magnetization: 0.000 μB per atom

Structure (POSCAR):
```
In2HgPb
1.0
-1.6192 2.8649 6.2226
1.6192 -2.8649 6.2226
1.6192 2.8649 -6.2226
In Hg Pb
2 1 1
direct
0.2418 0.2418 0.0000
0.7582 0.7582 0.0000
0.0000 0.0000 0.0000
0.5000 0.5000 0.0000
```

***

(11)
Here is InHgPb after structural relaxation from Alexandria via LeMat-Bulk. Energies are from GGA-PBE.

- Energy: -6.68 eV per formula unit
- Volume: 27.9 Å³/atom
- Offset from the most stable computed form: 22 meV/atom
- E_form: 22 meV per atom
- Total magnetization: 0.000 μB per atom

Structure (POSCAR):
```
InHgPb
1.0
-1.8078 2.2159 5.2221
1.8078 -2.2159 5.2221
1.8078 2.2159 -5.2221
In Hg Pb
1 1 1
direct
0.0000 0.0000 0.0000
0.3485 0.3485 0.0000
0.6774 0.6774 0.0000
```

***

(12)
Here is In2Hg8Pb3 after structural relaxation from Alexandria via LeMat-Bulk. Energies are from GGA-PBE.

- Energy: -17.80 eV per formula unit
- Volume: 28.8 Å³/atom
- Offset from the most stable computed form: 46 meV/atom
- E_form: 94 meV per atom
- Total magnetization: 0.000 μB per atom

Structure (POSCAR):
```
In2Hg8Pb3
1.0
3.0281 1.7482 11.7755
-3.0281 1.7482 11.7755
0.0000 -3.4965 11.7755
In Hg Pb
2 8 3
direct
0.1405 0.1405 0.1405
0.8595 0.8595 0.8595
0.2235 0.2235 0.2235
0.2320 0.2320 0.7316
0.2320 0.7316 0.2320
0.2684 0.7680 0.7680
0.7316 0.2320 0.2320
0.7680 0.2684 0.7680
0.7680 0.7680 0.2684
0.7765 0.7765 0.7765
0.3175 0.3175 0.3175
0.5000 0.5000 0.5000
0.6825 0.6825 0.6825
```

***

(13)
Here is In14HgPb after structural relaxation from Alexandria via LeMat-Bulk. Energies are from GGA-PBE.

- Energy: -42.10 eV per formula unit
- Volume: 27.4 Å³/atom
- E_form: 15 meV per atom
- Total magnetization: 0.000 μB per atom

Structure (POSCAR):
```
In14HgPb
1.0
7.1697 0.0000 0.0000
0.0000 7.1697 0.0000
0.0000 0.0000 8.5145
In Hg Pb
14 1 1
direct
0.0000 0.0000 0.0000
0.0000 0.5000 0.0000
0.0000 0.5000 0.5000
0.2443 0.2443 0.2486
0.2443 0.2443 0.7514
0.2443 0.7557 0.2486
0.2443 0.7557 0.7514
0.5000 0.0000 0.0000
0.5000 0.0000 0.5000
0.5000 0.5000 0.0000
0.7557 0.2443 0.2486
0.7557 0.2443 0.7514
0.7557 0.7557 0.2486
0.7557 0.7557 0.7514
0.0000 0.0000 0.5000
0.5000 0.5000 0.5000
```

***

(14)
Here is InHg3Pb after structural relaxation from Alexandria via LeMat-Bulk. Energies are from GGA-PBE.

- Energy: -7.20 eV per formula unit
- Volume: 27.4 Å³/atom
- Offset from the most stable computed form: 2 meV/atom
- E_form: 31 meV per atom
- Total magnetization: 0.000 μB per atom

Structure (POSCAR):
```
InHg3Pb
1.0
8.4733 0.0000 0.0000
0.0000 3.4128 0.0000
-2.3501 0.0000 9.4841
In Hg Pb
2 6 2
direct
0.0523 0.2500 0.1528
0.9477 0.7500 0.8472
0.1470 0.7500 0.4418
0.2323 0.2500 0.7372
0.3444 0.7500 0.0312
0.6556 0.2500 0.9688
0.7677 0.7500 0.2628
0.8530 0.2500 0.5582
0.4621 0.2500 0.3452
0.5379 0.7500 0.6548
```

***

(15)
Here is In2HgPb after structural relaxation from Alexandria via LeMat-Bulk. Energies are from GGA-PBE.

- Energy: -9.44 eV per formula unit
- Volume: 27.7 Å³/atom
- E_form: 11 meV per atom
- Total magnetization: 0.000 μB per atom

Structure (POSCAR):
```
In2HgPb
1.0
3.4908 0.0000 0.0000
0.0000 3.4908 0.0000
0.0000 0.0000 9.1025
In Hg Pb
2 1 1
direct
0.0000 0.0000 0.2366
0.0000 0.0000 0.7634
0.5000 0.5000 0.0000
0.5000 0.5000 0.5000
```

***

(16)
Here is In4HgPb7 after structural relaxation from Alexandria via LeMat-Bulk. Energies are from GGA-PBE.

- Energy: -36.12 eV per formula unit
- Volume: 31.8 Å³/atom
- Offset from the most stable computed form: 65 meV/atom
- E_form: 91 meV per atom
- Total magnetization: 0.000 μB per atom

Structure (POSCAR):
```
In4HgPb7
1.0
6.3683 -3.0051 0.0000
6.3683 3.0051 0.0000
-5.6466 0.0000 9.9789
In Hg Pb
4 1 7
direct
0.0719 0.0719 0.2648
0.2223 0.2223 0.8070
0.7777 0.7777 0.1930
0.9281 0.9281 0.7352
0.5000 0.5000 0.5000
0.0000 0.0000 0.5000
0.1644 0.1644 0.0516
0.2993 0.2993 0.5787
0.4568 0.4568 0.1150
0.5432 0.5432 0.8850
0.7007 0.7007 0.4213
0.8356 0.8356 0.9484
```

***

(17)
Here is InHg6Pb12 after structural relaxation from Alexandria via LeMat-Bulk. Energies are from GGA-PBE.

- Energy: -46.51 eV per formula unit
- Volume: 34.8 Å³/atom
- Offset from the most stable computed form: 63 meV/atom
- E_form: 134 meV per atom
- Total magnetization: 0.000 μB per atom

Structure (POSCAR):
```
InHg6Pb12
1.0
6.5885 3.8039 4.3988
-6.5885 3.8039 4.3988
0.0000 -7.6077 4.3988
In Hg Pb
1 6 12
direct
0.0000 0.0000 0.0000
0.1488 0.2844 0.5779
0.2844 0.5779 0.1488
0.4221 0.8512 0.7156
0.5779 0.1488 0.2844
0.7156 0.4221 0.8512
0.8512 0.7156 0.4221
0.0532 0.3353 0.9131
0.0869 0.9468 0.6647
0.1798 0.6099 0.4697
0.3353 0.9131 0.0532
0.3901 0.5303 0.8202
0.4697 0.1798 0.6099
0.5303 0.8202 0.3901
0.6099 0.4697 0.1798
0.6647 0.0869 0.9468
0.8202 0.3901 0.5303
0.9131 0.0532 0.3353
0.9468 0.6647 0.0869
```

***

(18)
Here is In6Hg8Pb after structural relaxation from Alexandria via LeMat-Bulk. Energies are from GGA-PBE.

- Energy: -22.14 eV per formula unit
- Volume: 29.0 Å³/atom
- E_form: 27 meV per atom
- Total magnetization: 0.000 μB per atom

Structure (POSCAR):
```
In6Hg8Pb
1.0
4.2125 2.4321 7.0748
-4.2125 2.4321 7.0748
0.0000 -4.8642 7.0748
In Hg Pb
6 8 1
direct
0.0816 0.4494 0.7836
0.2164 0.9184 0.5506
0.4494 0.7836 0.0816
0.5506 0.2164 0.9184
0.7836 0.0816 0.4494
0.9184 0.5506 0.2164
0.0658 0.6960 0.3664
0.1592 0.1592 0.1592
0.3040 0.6336 0.9342
0.3664 0.0658 0.6960
0.6336 0.9342 0.3040
0.6960 0.3664 0.0658
0.8408 0.8408 0.8408
0.9342 0.3040 0.6336
0.5000 0.5000 0.5000
```

***

(19)
Here is In2HgPb6 after structural relaxation from Alexandria via LeMat-Bulk. Energies are from GGA-PBE.

- Energy: -27.63 eV per formula unit
- Volume: 30.6 Å³/atom
- E_form: 45 meV per atom
- Total magnetization: 0.000 μB per atom

Structure (POSCAR):
```
In2HgPb6
1.0
3.4310 0.0000 0.0000
-1.7155 2.9713 0.0000
0.0000 0.0000 27.0066
In Hg Pb
2 1 6
direct
0.0000 0.0000 0.1715
0.0000 0.0000 0.8285
0.6667 0.3333 0.5000
0.0000 0.0000 0.3924
0.0000 0.0000 0.6076
0.6667 0.3333 0.0622
0.6667 0.3333 0.2820
0.6667 0.3333 0.7180
0.6667 0.3333 0.9378
```

***

(20)
Here is In2HgPb after structural relaxation from Alexandria via LeMat-Bulk. Energies are from GGA-PBE.

- Energy: -9.39 eV per formula unit
- Volume: 27.8 Å³/atom
- E_form: 24 meV per atom
- Total magnetization: 0.000 μB per atom

Structure (POSCAR):
```
In2HgPb
1.0
-1.8556 2.7427 5.4625
1.8556 -2.7427 5.4625
1.8556 2.7427 -5.4625
In Hg Pb
2 1 1
direct
0.2357 0.2357 0.0000
0.7643 0.7643 0.0000
0.0000 0.5000 0.5000
0.5000 0.0000 0.5000
```